(1)
VASP calculation (PBE-GGA) on PtW after structural relaxation.

Properties
Final energy, eV per atom: -9.673
Spin magnetization, μB/atom: 0.000
DOS at the Fermi energy, states/eV/f.u.: 1.263

a = 2.750 Å, b = 4.836 Å, c = 4.989 Å
α = 98.57°, β = 90.03°, γ = 106.31°
Space group P-1 (No. 2)
One atom of each set of equivalent atoms:
Pt1 0.120 0.239 0.362
W1 0.378 0.746 0.141

***

(2)
VASP calculation (PBE-GGA) on Pt3W after structural relaxation.

Properties
Final energy, eV per atom: -7.878
Spin magnetization, μB/atom: 0.000
DOS at the Fermi energy, states/eV/f.u.: 4.130

a = 5.567 Å, b = 8.040 Å, c = 2.797 Å
α = 90.00°, β = 90.00°, γ = 90.00°
Space group Cmmm (No. 65)
One atom of each set of equivalent atoms:
Pt1 0.000 0.000 0.000
Pt2 0.250 0.250 0.500
W1 0.000 0.500 0.000

***

(3)
VASP calculation (PBE-GGA) on PtW after structural relaxation.

Properties
Final energy, eV per atom: -9.123
Spin magnetization, μB/atom: 0.000
DOS at the Fermi energy, states/eV/f.u.: 1.932

a = 4.4580 Å, b = 4.4580 Å, c = 7.9712 Å
α = 90.00°, β = 90.00°, γ = 120.00°
Space group P6_3/mmc (No. 194)
One atom of each set of equivalent atoms:
Pt1 0.3333 0.6667 0.0788
W1 0.0000 0.0000 0.2500
W2 0.3333 0.6667 0.7500